Cr2PtW, optimized geometry, DFT PBE-GGA; ρ = 14145 kg/m³; energy relative to the lowest polymorph listed for this composition = 0.0 meV per atom; DFT total energy = -9.569 eV/atom; size of the total moment = 3.467 μB per formula unit; ΔE_f = -0.008 eV/atom; space-group type = P4/mmm, No. 123
1.0
-0.538 -3.707 1.624
0.019 -1.641 -3.738
3.372 -0.404 0.194
Cr W Pt
2 1 1
direct
0.500 0.500 0.000
0.000 0.000 0.000
0.000 0.500 0.500
0.500 0.000 0.500